# TbTm3Ga8

An optimized crystal structure of TbTm3Ga8 (GGA-PBE, Alexandria).

Unit cell a=9.5674 b=9.5674 c=9.5674 alpha=33.12 beta=33.12 gamma=33.12
With the nearest neighbours (Å) after each atom.
Fractional positions:
1 Tb 0.0000 0.0000 0.0000  12 Ga 3.20-3.25, 4 Tm 3.36-3.37
2 Tm 0.1242 0.1242 0.1242  12 Ga 3.20-3.23, 3 Tm 3.36, 1 Tb 3.37
3 Tm 0.5003 0.5003 0.5003  12 Ga 3.19-3.24, 4 Tm 3.34-3.36
4 Tm 0.6237 0.6237 0.6237  12 Ga 3.20-3.27, 1 Tm 3.34, 3 Tb 3.36
5 Ga 0.0618 0.0618 0.5613  6 Ga 2.72-2.76
6 Ga 0.0618 0.5613 0.0618  6 Ga 2.72-2.76
7 Ga 0.0627 0.5625 0.5625  6 Ga 2.73-2.77
8 Ga 0.3119 0.3119 0.3119  6 Ga 2.76-2.77
9 Ga 0.5613 0.0618 0.0618  6 Ga 2.72-2.76
10 Ga 0.5625 0.0627 0.5625  6 Ga 2.73-2.77
11 Ga 0.5625 0.5625 0.0627  6 Ga 2.73-2.77
12 Ga 0.8122 0.8122 0.8122  6 Ga 2.74-2.75

- Fermi-level density of states: 0.5429 states/eV/atom
- ΔE_f: -0.53 eV/atom

# CuNi2H2

An optimized crystal structure of CuNi2H2 (GGA-PBE, Alexandria).

Unit cell a=4.3361 b=4.3361 c=4.3361 alpha=132.08 beta=132.08 gamma=70.10
With the nearest neighbours (Å) after each atom.
Fractional positions:
1 Cu 0.0000 0.0000 0.0000  2 H 1.98
2 Ni 0.2500 0.7500 0.5000  4 H 1.77
3 Ni 0.7500 0.2500 0.5000  4 H 1.77
4 H 0.2787 0.2787 0.0000  4 Ni 1.77, 1 Cu 1.98
5 H 0.7213 0.7213 0.0000  4 Ni 1.77, 1 Cu 1.98

- Fermi-level density of states: 0.8477 states/eV/atom
- Energy above the lowest structure with this stoichiometry: 116 meV/atom

# PrYNiGe

An optimized crystal structure of PrYNiGe (GGA-PBE, Alexandria).

Unit cell a=5.0489 b=5.0489 c=5.0489 alpha=60.00 beta=60.00 gamma=60.00
With the nearest neighbours (Å) after each atom.
Fractional positions:
1 Pr 0.0000 0.0000 0.0000  4 Ge 3.09, 4 Ni 3.09
2 Y 0.5000 0.5000 0.5000  4 Ge 3.09, 4 Ni 3.09
3 Ni 0.7500 0.7500 0.7500  4 Pr 3.09, 4 Y 3.09
4 Ge 0.2500 0.2500 0.2500  4 Pr 3.09, 4 Y 3.09

- Fermi-level density of states: 0.4370 states/eV/atom
- ΔE_f: -0.47 eV/atom

# MgCdPO4

An optimized crystal structure of MgCdPO4 (GGA-PBE, Alexandria).

Unit cell a=7.4021 b=7.4021 c=7.4021 alpha=138.05 beta=131.10 gamma=66.35
With the nearest neighbours (Å) after each atom.
Fractional positions:
1 Mg 0.0000 0.0000 0.0000  4 O 2.05
2 Mg 0.5000 0.0000 0.5000  4 O 2.05
3 Cd 0.5000 0.0000 0.0000  4 O 2.47, 2 Cd 2.65
4 Cd 0.5000 0.5000 0.5000  4 O 2.47, 2 Cd 2.65
5 P 0.1565 0.4065 0.7500  4 O 1.54-1.59
6 P 0.8435 0.5935 0.2500  4 O 1.54-1.59
7 O 0.1217 0.6598 0.4619  1 P 1.54
8 O 0.2286 0.2294 0.5008  1 P 1.59
9 O 0.2286 0.7278 0.9992  1 P 1.59
10 O 0.3020 0.3402 0.9619  1 P 1.54
11 O 0.6980 0.6598 0.0381  1 P 1.54
12 O 0.7714 0.2722 0.0008  1 P 1.59
13 O 0.7714 0.7706 0.4992  1 P 1.59
14 O 0.8783 0.3402 0.5381  1 P 1.54

- Fermi-level density of states: 0.1123 states/eV/atom
- Uncorrected formation energy: -1.8793 eV per atom

# Er4ScTl7

An optimized crystal structure of Er4ScTl7 (GGA-PBE, Alexandria).

Unit cell a=7.4248 b=7.4248 c=11.1162 alpha=120.75 beta=120.75 gamma=43.27
With the nearest neighbours (Å) after each atom.
Fractional positions:
1 Er 0.0801 0.0801 0.2826  8 Tl 3.09-3.33
2 Er 0.2173 0.2173 0.8256  8 Tl 3.10-3.32
3 Er 0.7827 0.7827 0.1744  8 Tl 3.10-3.32
4 Er 0.9199 0.9199 0.7174  8 Tl 3.09-3.33
5 Sc 0.5000 0.5000 0.5000  2 Tl 2.74
6 Tl 0.0000 0.0000 0.5000  2 Sc 2.74
7 Tl 0.1329 0.1329 0.0459  5 Er 3.09-3.25, 2 Tl 3.22-3.33
8 Tl 0.2871 0.2871 0.6040  4 Er 3.10-3.15, 4 Tl 3.36-3.46
9 Tl 0.4157 0.4157 0.1783  1 Sc 3.09, 5 Er 3.28-3.33, 2 Tl 3.33-3.43
10 Tl 0.5843 0.5843 0.8217  1 Sc 3.09, 5 Er 3.28-3.33, 2 Tl 3.33-3.43
11 Tl 0.7129 0.7129 0.3960  4 Er 3.10-3.15, 4 Tl 3.36-3.46
12 Tl 0.8671 0.8671 0.9541  5 Er 3.09-3.25, 2 Tl 3.22-3.33

- Fermi-level density of states: 0.4902 states/eV/atom
- ΔE_f: -0.08 eV/atom

# RbSm4S6

An optimized crystal structure of RbSm4S6 (GGA-PBE, Alexandria).

Unit cell a=7.0700 b=7.0700 c=21.5122 alpha=90.00 beta=90.00 gamma=146.66
With the nearest neighbours (Å) after each atom.
Fractional positions:
1 Rb 0.1491 0.8509 0.7500  6 S 3.25-3.35
2 Rb 0.8509 0.1491 0.2500  6 S 3.25-3.35
3 Sm 0.1023 0.8977 0.1338  5 S 2.63-2.91
4 Sm 0.1023 0.8977 0.3662  5 S 2.63-2.91
5 Sm 0.3694 0.6306 0.0415  6 S 2.70-2.91
6 Sm 0.3694 0.6306 0.4585  6 S 2.70-2.91
7 Sm 0.6306 0.3694 0.5415  6 S 2.70-2.91
8 Sm 0.6306 0.3694 0.9585  6 S 2.70-2.91
9 Sm 0.8977 0.1023 0.6338  5 S 2.63-2.91
10 Sm 0.8977 0.1023 0.8662  5 S 2.63-2.91
11 S 0.0000 0.0000 0.0000  4 Sm 2.84
12 S 0.0000 0.0000 0.5000  4 Sm 2.84
13 S 0.1631 0.8369 0.2500  2 Sm 2.63
14 S 0.2708 0.7292 0.5785  5 Sm 2.89-2.91
15 S 0.2708 0.7292 0.9215  5 Sm 2.89-2.91
16 S 0.4681 0.5319 0.1504  3 Sm 2.70-2.75
17 S 0.4681 0.5319 0.3496  3 Sm 2.70-2.75
18 S 0.5319 0.4681 0.6504  3 Sm 2.70-2.75
19 S 0.5319 0.4681 0.8496  3 Sm 2.70-2.75
20 S 0.7292 0.2708 0.0785  5 Sm 2.89-2.91
21 S 0.7292 0.2708 0.4215  5 Sm 2.89-2.91
22 S 0.8369 0.1631 0.7500  2 Sm 2.63

- Fermi-level density of states: 0.2042 states/eV/atom
- Uncorrected formation energy: -1.9318 eV per atom
- Energy above the lowest structure with this stoichiometry: 0 meV/atom

# AcH

An optimized crystal structure of AcH (GGA-PBE, Alexandria).

Unit cell a=7.0443 b=7.0443 c=7.0443 alpha=34.16 beta=34.16 gamma=34.16
With the nearest neighbours (Å) after each atom.
Fractional positions:
1 Ac 0.0000 0.0000 0.0000  2 H 2.52
2 Ac 0.5000 0.5000 0.5000  6 H 2.52
3 H 0.1265 0.1265 0.1265  4 Ac 2.52
4 H 0.8735 0.8735 0.8735  4 Ac 2.52

- Fermi-level density of states: 0.5911 states/eV/atom
- Energy above the lowest structure with this stoichiometry: 0 meV/atom

# Cs4ZnCl2

An optimized crystal structure of Cs4ZnCl2 (GGA-PBE, Alexandria).

Unit cell a=10.4018 b=10.4018 c=10.4018 alpha=141.53 beta=141.53 gamma=55.54
With the nearest neighbours (Å) after each atom.
Fractional positions:
1 Cs 0.0000 0.5000 0.5000  2 Zn 3.43
2 Cs 0.2215 0.2215 0.0000  1 Cl 3.22
3 Cs 0.5000 0.0000 0.5000  2 Zn 3.43
4 Cs 0.7785 0.7785 0.0000  1 Cl 3.22
5 Zn 0.0000 0.0000 0.0000  4 Cs 3.43
6 Cl 0.3964 0.3964 0.0000  1 Cs 3.22
7 Cl 0.6036 0.6036 0.0000  1 Cs 3.22

- Fermi-level density of states: 0.5733 states/eV/atom
- Uncorrected formation energy: -0.8168 eV per atom